Record 1
VASP calculation (PBE) on a geometry-optimized BeSiNi2 structure.

Output
Polymorph energy (0 for the lowest one) = 0.000 eV/atom

```
4
Lattice="0.000 2.720 2.720 2.720 0.000 2.720 2.720 2.720 0.000" Properties=species:S:1:pos:R:3 pbc="T T T"
Ni 1.360 1.360 1.360
Ni 4.080 4.080 4.080
Be 0.000 0.000 0.000
Si 2.720 2.720 2.720
```

Record 2
VASP calculation (PBE) on a geometry-optimized BeSiNi2 structure.

Output
Polymorph energy (0 for the lowest one) = 0.115 eV/atom

```
4
Lattice="3.726 0.000 0.000 0.000 2.576 0.145 0.000 1.039 4.370" Properties=species:S:1:pos:R:3 pbc="T T T"
Ni 0.000 3.472 4.208
Ni 1.863 1.051 1.389
Be 1.863 2.217 3.536
Si 0.000 2.299 2.155
```